# 1
Below is Ca3Y3CuS8 after structural relaxation, with properties calculated at the GGA-PBE level.

Results
total DFT energy (no corrections): -5.969 eV per atom
magnetization: 0.07 μB/f.u.
ΔE_f (raw): -27.029 eV per formula unit

a = 7.8458 Å, b = 7.8458 Å, c = 7.9366 Å
α = 119.63°, β = 119.63°, γ = 60.03°
Positions (direct):
1 Ca 0.0000 0.0000 0.0000
2 Ca 0.0000 0.5000 0.0000
3 Ca 0.5000 0.0000 0.0000
4 Y 0.0000 0.5000 0.5000
5 Y 0.5000 0.0000 0.5000
6 Y 0.5000 0.5000 0.5000
7 Cu 0.0000 0.0000 0.5000
8 S 0.2399 0.2399 0.7309
9 S 0.2409 0.7501 0.7318
10 S 0.2499 0.7591 0.2682
11 S 0.2521 0.2521 0.2564
12 S 0.7479 0.7479 0.7436
13 S 0.7501 0.2409 0.7318
14 S 0.7591 0.2499 0.2682
15 S 0.7601 0.7601 0.2691



# 2
Below is CaZn2CuS after structural relaxation, with properties calculated at the GGA-PBE level.

Results
total DFT energy (no corrections): -1.511 eV per atom
magnetization: 1.02 μB/f.u.
ΔE_f (raw): 5.217 eV per formula unit

a = 5.7141 Å, b = 5.7141 Å, c = 5.1684 Å
α = 90.00°, β = 90.00°, γ = 90.00°
Positions (direct):
1 Ca 0.0000 0.0000 0.0000
2 Zn 0.0000 0.5000 0.0000
3 Zn 0.5000 0.0000 0.0000
4 Cu 0.0000 0.0000 0.5000
5 S 0.5000 0.5000 0.5000